Na4CdAg (PBE, optimized geometry); energy above the most stable polymorph in this dataset = 0 meV per atom; space-group type = I4/mcm; VASP energy = -1.5205 eV per atom; E_form = -13 meV per atom
1.0
-5.772 3.820 -3.024
-0.984 -5.506 -5.077
-0.491 -1.984 7.865
Na Ag Cd
8 2 2
Direct
0.040 0.202 0.742
0.702 0.540 0.742
0.540 0.040 0.742
0.202 0.702 0.742
0.798 0.298 0.258
0.298 0.460 0.258
0.460 0.960 0.258
0.960 0.798 0.258
0.500 0.500 0.000
0.000 0.000 0.000
0.750 0.750 0.500
0.250 0.250 0.500